Record 1
Here is a relaxed TbPr2Hg8 crystal from Alexandria. Energies are from GGA-PBE.

Cell lengths 5.2346, 7.5084, 14.7090 Å; angles 90.00, 90.00, 90.00 degrees
Space group Immm (No. 71)
Symmetry-distinct sites (fractional):
Tb (0.0000, 0.0000, 0.0000) x2
Pr (0.0000, 0.0000, 0.3041) x4
Hg (0.0000, 0.2155, 0.5000) x4
Hg (0.0000, 0.2910, 0.1408) x8
Hg (0.0000, 0.5000, 0.3440) x4

## Properties
formation energy from the elements	-0.34	eV/atom
electronic total energy	-0.068	Ha/atom
density of states at the Fermi level	0.53	states/eV/atom
spin magnetization	0.00	μB/f.u.

=====

Record 2
Here is a relaxed BeAg2Te crystal from Alexandria. Energies are from GGA-PBE.

Cell lengths 3.9450, 3.9450, 4.8701 Å; angles 90.00, 90.00, 90.00 degrees
Space group P4/mmm (No. 123)
Symmetry-distinct sites (fractional):
Be (0.0000, 0.0000, 0.0000) x1
Ag (0.0000, 0.5000, 0.5000) x2
Te (0.5000, 0.5000, 0.0000) x1

## Properties
electronic total energy	-0.102	Ha/atom
density of states at the Fermi level	0.33	states/eV/atom
uncorrected formation energy	34.3	kJ/mol of atoms
energy relative to the lowest polymorph listed for this composition	217	meV/atom
spin magnetization	0.00	μB/f.u.

=====

Record 3
Here is a relaxed Ca2TaTc crystal from Alexandria. Energies are from GGA-PBE.

Cell lengths 2.8744, 2.8744, 10.3487 Å; angles 90.00, 90.00, 90.00 degrees
Space group P4/mmm (No. 123)
Symmetry-distinct sites (fractional):
Ca (0.0000, 0.0000, 0.2355) x2
Ta (0.5000, 0.5000, 0.5000) x1
Tc (0.5000, 0.5000, 0.0000) x1

## Properties
formation energy from the elements	0.79	eV/atom
electronic total energy	-0.212	Ha/atom
density of states at the Fermi level	1.08	states/eV/atom
energy relative to the lowest polymorph listed for this composition	631	meV/atom
spin magnetization	0.13	μB/f.u.

=====

Record 4
Here is a relaxed BaPbI2N crystal from Alexandria. Energies are from GGA-PBE.

Cell lengths 6.5168, 6.5168, 4.2288 Å; angles 90.00, 90.00, 90.00 degrees
Space group P4/mmm (No. 123)
Symmetry-distinct sites (fractional):
Ba (0.0000, 0.0000, 0.0000) x1
Pb (0.5000, 0.5000, 0.5000) x1
I (0.0000, 0.5000, 0.5000) x2
N (0.5000, 0.5000, 0.0000) x1

## Properties
electronic total energy	-0.131	Ha/atom
density of states at the Fermi level	0.13	states/eV/atom
uncorrected formation energy	-14.5	kJ/mol of atoms
energy relative to the lowest polymorph listed for this composition	0	meV/atom
spin magnetization	0.17	μB/f.u.

=====

Record 5
Here is a relaxed Sm2DySn crystal from Alexandria. Energies are from GGA-PBE.

Cell lengths 7.7518, 7.7518, 7.7518 Å; angles 90.00, 90.00, 90.00 degrees
Space group Fm-3m (No. 225)
Symmetry-distinct sites (fractional):
Sm (0.2500, 0.2500, 0.2500) x8
Dy (0.0000, 0.0000, 0.0000) x4
Sn (0.0000, 0.0000, 0.5000) x4

## Properties
formation energy from the elements	-0.26	eV/atom
electronic total energy	-0.175	Ha/atom
density of states at the Fermi level	1.83	states/eV/atom
energy relative to the lowest polymorph listed for this composition	178	meV/atom
spin magnetization	0.02	μB/f.u.

=====

Record 6
Here is a relaxed LaThCo crystal from Alexandria. Energies are from GGA-PBE.

Cell lengths 3.9276, 3.9276, 6.4197 Å; angles 90.00, 90.00, 120.00 degrees
Space group P3m1 (No. 156)
Symmetry-distinct sites (fractional):
La (0.0000, 0.0000, 0.0000) x1
Th (0.3333, 0.6667, 0.4843) x1
Co (0.6667, 0.3333, 0.2631) x1

## Properties
formation energy from the elements	-0.11	eV/atom
electronic total energy	-0.242	Ha/atom
density of states at the Fermi level	1.11	states/eV/atom
energy relative to the lowest polymorph listed for this composition	30	meV/atom
spin magnetization	0.00	μB/f.u.

=====

Record 7
Here is a relaxed Pr2LuGe crystal from Alexandria. Energies are from GGA-PBE.

Cell lengths 3.5571, 3.5571, 35.1402 Å; angles 90.00, 90.00, 120.00 degrees
Space group R-3m (No. 166, hexagonal axes)
Symmetry-distinct sites (fractional):
Pr (0.0000, 0.0000, 0.0850) x6
Lu (0.0000, 0.0000, 0.5000) x3
Ge (0.0000, 0.0000, 0.0000) x3

## Properties
formation energy from the elements	0.17	eV/atom
electronic total energy	-0.165	Ha/atom
density of states at the Fermi level	0.87	states/eV/atom
energy relative to the lowest polymorph listed for this composition	433	meV/atom
spin magnetization	0.00	μB/f.u.

=====

Record 8
Here is a relaxed Nd4HgAuO crystal from Alexandria. Energies are from GGA-PBE.

Cell lengths 6.9494, 15.3793, 6.9384 Å; angles 90.00, 90.00, 90.00 degrees
Space group Cmcm (No. 63)
Symmetry-distinct sites (fractional):
Nd (0.0000, 0.0652, 0.2500) x4
Nd (0.0000, 0.4240, 0.2500) x4
Nd (0.2500, 0.2500, 0.0000) x8
Hg (0.0000, 0.3817, 0.7500) x4
Au (0.0000, 0.1221, 0.7500) x4
O (0.0000, 0.2545, 0.2500) x4

## Properties
electronic total energy	-0.186	Ha/atom
density of states at the Fermi level	0.82	states/eV/atom
uncorrected formation energy	-108.5	kJ/mol of atoms
spin magnetization	0.00	μB/f.u.

=====

Record 9
Here is a relaxed Ba12Pt3F5 crystal from Alexandria. Energies are from GGA-PBE.

Cell lengths 17.8062, 17.8062, 17.8062 Å; angles 90.00, 90.00, 90.00 degrees
Space group Ia-3d (No. 230)
Symmetry-distinct sites (fractional):
Ba (0.0288, 0.0608, 0.6544) x96
Pt (0.0000, 0.2500, 0.1250) x24
F (0.0000, 0.0000, 0.0000) x16
F (0.0000, 0.2500, 0.3750) x24

## Properties
electronic total energy	-0.150	Ha/atom
density of states at the Fermi level	0.68	states/eV/atom
uncorrected formation energy	-150.9	kJ/mol of atoms
spin magnetization	0.00	μB/f.u.

=====

Record 10
Here is a relaxed MgAgIr crystal from Alexandria. Energies are from GGA-PBE.

Cell lengths 8.7357, 4.3789, 5.6688 Å; angles 90.00, 91.62, 90.00 degrees
Space group C2/m (No. 12)
Symmetry-distinct sites (fractional):
Mg (0.0411, 0.0000, 0.2440) x4
Ag (0.1553, 0.5000, 0.5820) x4
Ir (0.2483, 0.5000, 0.0986) x4

## Properties
formation energy from the elements	-0.02	eV/atom
electronic total energy	-0.164	Ha/atom
density of states at the Fermi level	0.52	states/eV/atom
energy relative to the lowest polymorph listed for this composition	0	meV/atom
spin magnetization	0.00	μB/f.u.

=====

Record 11
Here is a relaxed NbNiTeI2 crystal from Alexandria. Energies are from GGA-PBE.

Cell lengths 5.5933, 5.5933, 5.3949 Å; angles 90.00, 90.00, 90.00 degrees
Space group P4/mmm (No. 123)
Symmetry-distinct sites (fractional):
Nb (0.0000, 0.0000, 0.0000) x1
Ni (0.5000, 0.5000, 0.5000) x1
Te (0.0000, 0.0000, 0.5000) x1
I (0.0000, 0.5000, 0.0000) x2

## Properties
electronic total energy	-0.135	Ha/atom
density of states at the Fermi level	3.13	states/eV/atom
uncorrected formation energy	72.3	kJ/mol of atoms
energy relative to the lowest polymorph listed for this composition	21	meV/atom
spin magnetization	1.04	μB/f.u.

=====

Record 12
Here is a relaxed FeAg2Br5 crystal from Alexandria. Energies are from GGA-PBE.

Cell lengths 10.7698, 10.8184, 10.0259 Å; angles 90.00, 119.00, 90.00 degrees
Space group C2/c (No. 15)
Symmetry-distinct sites (fractional):
Fe (0.0000, 0.0964, 0.2500) x4
Ag (0.0000, 0.5000, 0.0000) x4
Ag (0.2500, 0.2500, 0.0000) x4
Br (0.0000, 0.3944, 0.7500) x4
Br (0.0043, 0.2198, 0.4448) x8
Br (0.1995, 0.0373, 0.8338) x8

## Properties
electronic total energy	-0.117	Ha/atom
density of states at the Fermi level	0.04	states/eV/atom
uncorrected formation energy	-36.3	kJ/mol of atoms
spin magnetization	5.01	μB/f.u.